1.
Here is a geometry-optimized CaZrTl2O6 structure from Alexandria. Energies are from GGA-PBE.

POSCAR file:
```
CaZrTl2O6
1.0
2.8797 1.6626 5.0878
-2.8797 1.6626 5.0878
0.0000 -3.3252 5.0878
Ca Zr Tl O
1 1 2 6
direct
0.0000 0.0000 0.0000 Ca
0.4988 0.4988 0.4988 Zr
0.2826 0.2826 0.2826 Tl
0.7791 0.7791 0.7791 Tl
0.1206 0.6805 0.3994 O
0.2197 0.5935 0.8670 O
0.3994 0.1206 0.6805 O
0.5935 0.8670 0.2197 O
0.6805 0.3994 0.1206 O
0.8670 0.2197 0.5935 O
```

Results
DFT total energy = -6.41 eV per atom
Space-group type = R3 (146)
ΔE_f (raw) = -1.909 eV per atom
V = 146 Å³/cell

2.
Here is a geometry-optimized ZrZnGaIr structure from Alexandria. Energies are from GGA-PBE.

POSCAR file:
```
ZrZnGaIr
1.0
0.0000 3.1969 3.1969
3.1969 0.0000 3.1969
3.1969 3.1969 0.0000
Zr Zn Ga Ir
1 1 1 1
direct
0.0000 0.0000 0.0000 Zr
0.2500 0.2500 0.2500 Zn
0.5000 0.5000 0.5000 Ga
0.7500 0.7500 0.7500 Ir
```

Results
DFT total energy = -5.93 eV per atom
Space-group type = F-43m (216)
V = 65 Å³/cell

3.
Here is a geometry-optimized Tl2FeSb structure from Alexandria. Energies are from GGA-PBE.

POSCAR file:
```
Tl2FeSb
1.0
3.1238 -4.8411 0.0000
3.1238 4.8411 0.0000
0.0000 0.0000 3.3057
Tl Fe Sb
2 1 1
direct
0.0000 0.5000 0.0000 Tl
0.5000 0.0000 0.0000 Tl
0.0000 0.0000 0.5000 Fe
0.5000 0.5000 0.5000 Sb
```

Results
ΔE to the lowest computed polymorph = 331 meV per atom
DFT total energy = -3.75 eV per atom
Space-group type = Cmmm (65)
ΔE_f (raw) = 0.579 eV per atom
V = 100 Å³/cell

4.
Here is a geometry-optimized La2Zn3Ge structure from Alexandria. Energies are from GGA-PBE.

POSCAR file:
```
La2Zn3Ge
1.0
0.0000 4.5001 7.7789
3.9742 0.0000 7.7789
3.9742 4.5001 0.0000
La Zn Ge
4 6 2
direct
0.2448 0.7552 0.7552 La
0.2500 0.2500 0.2500 La
0.7500 0.7500 0.7500 La
0.7552 0.2448 0.2448 La
0.1664 0.1664 0.8336 Zn
0.1690 0.6656 0.3344 Zn
0.3344 0.8310 0.1690 Zn
0.6656 0.1690 0.8310 Zn
0.8310 0.3344 0.6656 Zn
0.8336 0.8336 0.1664 Zn
0.3337 0.3337 0.6663 Ge
0.6663 0.6663 0.3337 Ge
```

Results
ΔE to the lowest computed polymorph = 0 meV per atom
DFT total energy = -3.57 eV per atom
Space-group type = Fmmm (69)
V = 278 Å³/cell

5.
Here is a geometry-optimized Sc3Ni2 structure from Alexandria. Energies are from GGA-PBE.

POSCAR file:
```
Sc3Ni2
1.0
-1.5886 1.5886 8.8825
1.5886 -1.5886 8.8825
1.5886 1.5886 -8.8825
Sc Ni
3 2
direct
0.0000 0.0000 0.0000 Sc
0.1762 0.1762 0.0000 Sc
0.8238 0.8238 0.0000 Sc
0.4089 0.4089 0.0000 Ni
0.5911 0.5911 0.0000 Ni
```

Results
ΔE to the lowest computed polymorph = 0 meV per atom
DFT total energy = -6.49 eV per atom
Space-group type = I4/mmm (139)
V = 90 Å³/cell

6.
Here is a geometry-optimized SrTcNi structure from Alexandria. Energies are from GGA-PBE.

POSCAR file:
```
SrTcNi
1.0
4.7596 0.0000 0.0000
-2.3798 4.1219 0.0000
0.0000 0.0000 2.8701
Sr Tc Ni
1 1 1
direct
0.0000 0.0000 0.0000 Sr
0.6667 0.3333 0.5000 Tc
0.3333 0.6667 0.5000 Ni
```

Results
ΔE to the lowest computed polymorph = 410 meV per atom
DFT total energy = -5.06 eV per atom
Space-group type = P-6m2 (187)
V = 56 Å³/cell

What did the fifth record say?
Here is a geometry-optimized Sc3Ni2 structure from Alexandria. Energies are from GGA-PBE.

POSCAR file:
```
Sc3Ni2
1.0
-1.5886 1.5886 8.8825
1.5886 -1.5886 8.8825
1.5886 1.5886 -8.8825
Sc Ni
3 2
direct
0.0000 0.0000 0.0000 Sc
0.1762 0.1762 0.0000 Sc
0.8238 0.8238 0.0000 Sc
0.4089 0.4089 0.0000 Ni
0.5911 0.5911 0.0000 Ni
```

Results
ΔE to the lowest computed polymorph = 0 meV per atom
DFT total energy = -6.49 eV per atom
Space-group type = I4/mmm (139)
V = 90 Å³/cell